P:
This record from Alexandria via LeMat-Bulk describes an optimized crystal structure of CoIr6Rh8. The functional is PBE.

a b c (Å): 2.7084 9.8979 9.8979
angles (deg): 120.00 90.00 90.00
Site moments in Bohr magnetons follow the coordinates.
Fractional positions:
Co: 0.5000 0.0000 0.0000  2.11
Ir: 0.7502 0.5351 0.6234  0.02
Ir: 0.7502 0.3766 0.9117  0.02
Ir: 0.7502 0.0883 0.4649  0.02
Ir: 0.2498 0.4649 0.3766  0.02
Ir: 0.2498 0.6234 0.0883  0.02
Ir: 0.2498 0.9117 0.5351  0.02
Rh: 0.7535 0.7239 0.9238  0.24
Rh: 0.7535 0.0762 0.8001  0.24
Rh: 0.7535 0.1999 0.2761  0.24
Rh: 0.2465 0.2761 0.0762  0.24
Rh: 0.2465 0.9238 0.1999  0.24
Rh: 0.2465 0.8001 0.7239  0.24
Rh: 0.7550 0.6667 0.3333  -0.03
Rh: 0.2450 0.3333 0.6667  -0.03

Computed properties:
total magnetic moment: 0.241 μB/atom

Q:
This record from Alexandria via LeMat-Bulk describes an optimized crystal structure of CoIr6Rh8. The functional is PBE.

a b c (Å): 7.3935 7.3935 4.6590
angles (deg): 90.00 90.00 120.00
Fractional positions:
Co: 0.0000 0.0000 0.5000
Ir: 0.5242 0.8936 0.2961
Ir: 0.3694 0.4758 0.2961
Ir: 0.1064 0.6306 0.2961
Ir: 0.4758 0.1064 0.7039
Ir: 0.6306 0.5242 0.7039
Ir: 0.8936 0.3694 0.7039
Rh: 0.7733 0.7260 0.2004
Rh: 0.9527 0.2267 0.2004
Rh: 0.2740 0.0473 0.2004
Rh: 0.2267 0.2740 0.7996
Rh: 0.0473 0.7733 0.7996
Rh: 0.7260 0.9527 0.7996
Rh: 0.6667 0.3333 0.2032
Rh: 0.3333 0.6667 0.7968

Computed properties:
total magnetic moment: 0.000 μB/atom

Least stable of them? P.

P:
This record from Alexandria via LeMat-Bulk describes an optimized crystal structure of Co2Ir5Rh2. The functional is PBE.

a b c (Å): 4.6539 6.5171 6.3863
angles (deg): 136.06 107.64 77.27
Site moments in Bohr magnetons follow the coordinates.
Fractional positions:
Co: 0.2270 0.3313 0.0063  1.45
Co: 0.7730 0.6687 0.9937  1.45
Ir: 0.3172 0.8245 0.2526  0.11
Ir: 0.6828 0.1755 0.7474  0.11
Ir: 0.1621 0.4100 0.6413  0.07
Ir: 0.8379 0.5900 0.3587  0.07
Ir: 0.0000 0.0000 0.0000  0.12
Rh: 0.4092 0.7915 0.6701  0.22
Rh: 0.5908 0.2085 0.3299  0.22

Computed properties:
total magnetic moment: 0.421 μB/atom

Q:
This record from Alexandria via LeMat-Bulk describes an optimized crystal structure of Co2Ir5Rh2. The functional is PBE.

a b c (Å): 3.6391 6.5630 8.3570
angles (deg): 129.24 90.00 106.10
Site moments in Bohr magnetons follow the coordinates.
Fractional positions:
Co: 0.1040 0.2079 0.8288  0.07
Co: 0.8960 0.7921 0.1712  0.07
Ir: 0.3324 0.6648 0.9302  0.01
Ir: 0.6676 0.3352 0.0698  0.01
Ir: 0.1203 0.2405 0.5526  0.00
Ir: 0.8797 0.7595 0.4474  0.00
Ir: 0.0000 0.0000 0.0000  -0.01
Rh: 0.3843 0.7686 0.6635  0.00
Rh: 0.6157 0.2314 0.3365  0.00

Computed properties:
total magnetic moment: 0.015 μB/atom

Least stable of them? Q.